# 1
Compound: BaPmTe2F
Source: Alexandria
Functional: PBE-GGA
Structure: optimized geometry

Structure (POSCAR):
```
BaPmTe2F
1.0
4.515 0.000 0.000
0.000 4.515 0.000
0.000 0.000 16.023
Ba Pm Te F
2 2 4 2
Direct
0.500 0.000 0.593
0.000 0.500 0.407
0.500 0.000 0.119
0.000 0.500 0.881
0.000 0.500 0.699
0.000 0.500 0.091
0.500 0.000 0.909
0.500 0.000 0.301
0.000 0.000 0.500
0.500 0.500 0.500
```

Summary:
**Magnetization**: 0.0 Bohr magnetons per cell
**E_tot**: -5.157 eV/atom
**Formation energy without anion corrections**: -2.1917 eV/atom
**V**: 32.7 Å³ per atom



# 2
Compound: MgZnCd2
Source: Alexandria
Functional: PBE-GGA
Structure: optimized geometry

Structure (POSCAR):
```
MgZnCd2
1.0
-0.729 -9.365 1.248
1.829 -9.270 -0.716
2.220 -8.876 2.463
Zn Mg Cd
1 1 2
Direct
0.751 0.751 0.751
0.493 0.493 0.493
0.007 0.007 0.007
0.249 0.249 0.249
```

Summary:
**Magnetization**: 0.0 Bohr magnetons per cell
**E_tot**: -1.157 eV/atom
**Energy above the most stable polymorph in this dataset**: 39 meV/atom
**V**: 20.9 Å³ per atom



# 3
Compound: CdBiTe2
Source: Alexandria
Functional: PBE-GGA
Structure: optimized geometry

Structure (POSCAR):
```
CdBiTe2
1.0
-0.556 -3.206 5.606
-3.642 -4.491 -2.929
4.362 -7.969 -0.377
Te Bi Cd
4 2 2
Direct
0.604 0.125 0.250
0.146 0.625 0.250
0.375 0.396 0.750
0.875 0.854 0.750
0.000 0.000 0.000
0.750 0.250 0.500
0.500 0.500 0.000
0.250 0.750 0.500
```

Summary:
**Magnetization**: 0.0 Bohr magnetons per cell
**E_tot**: -2.838 eV/atom
**Formation energy without anion corrections**: -0.0683 eV/atom
**Energy above the most stable polymorph in this dataset**: 134 meV/atom
**V**: 41.2 Å³ per atom



# 4
Compound: CeSiB
Source: Alexandria
Functional: PBE-GGA
Structure: optimized geometry

Structure (POSCAR):
```
CeSiB
1.0
3.540 0.000 0.000
0.000 5.684 0.000
0.000 0.000 10.133
Si B Ce
4 4 4
Direct
0.750 0.250 0.681
0.250 0.750 0.819
0.250 0.750 0.319
0.750 0.250 0.181
0.750 0.955 0.312
0.250 0.455 0.188
0.250 0.045 0.688
0.750 0.545 0.812
0.750 0.755 0.571
0.250 0.255 0.929
0.250 0.245 0.429
0.750 0.745 0.071
```

Summary:
**Magnetization**: 3.3 Bohr magnetons per cell
**E_tot**: -6.431 eV/atom
**Formation energy without anion corrections**: -0.4191 eV/atom
**Energy above the most stable polymorph in this dataset**: 204 meV/atom
**V**: 17.0 Å³ per atom